Computed, not measured: GaPbCl2 after structural relaxation at the PBE level of DFT.

uncorrected formation energy: -0.5750 eV/atom
ρ: 5.2 g/cm³
raw total energy: -0.1169 Ha/atom

a = 8.145 Å, b = 8.145 Å, c = 6.662 Å
α = 52.31°, β = 52.31°, γ = 90.00°
Fractional positions:
Pb: 0.000 0.000 0.000
Ga: 0.500 0.500 0.000
Cl: 0.631 0.125 0.250
Cl: 0.375 0.369 0.750
Cl: 0.119 0.625 0.250
Cl: 0.875 0.881 0.750
Ga: 0.250 0.750 0.500
Pb: 0.750 0.250 0.500